# 1
VASP calculation (PBE-GGA) on a geometry-optimized CsLiTl structure.

POSCAR file:
```
CsLiTl
1.0
5.093 0.000 0.000
-2.546 4.410 0.000
0.000 0.000 5.930
Cs Li Tl
1 1 1
Direct
0.000 0.000 0.000
0.333 0.667 0.500
0.667 0.333 0.500
```

- Space group: P-6m2

---

# 2
VASP calculation (PBE-GGA) on a geometry-optimized CsLi2TlV structure.

POSCAR file:
```
CsLi2TlV
1.0
5.529 0.000 0.000
0.000 5.529 0.000
0.000 0.000 6.205
Cs Li Tl V
1 2 1 1
Direct
0.000 0.000 0.000
0.000 0.500 0.500
0.500 0.000 0.500
0.500 0.500 0.000
0.000 0.000 0.500
```

- Space group: P4/mmm

---

# 3
VASP calculation (PBE-GGA) on a geometry-optimized CsLiTl2Zn structure.

POSCAR file:
```
CsLiTl2Zn
1.0
5.533 0.000 0.000
0.000 5.533 0.000
0.000 0.000 5.625
Cs Li Tl Zn
1 1 2 1
Direct
0.000 0.000 0.000
0.500 0.500 0.000
0.000 0.500 0.500
0.500 0.000 0.500
0.500 0.500 0.500
```

- Space group: P4/mmm

---

# 4
VASP calculation (PBE-GGA) on a geometry-optimized CsLi2V structure.

POSCAR file:
```
CsLi2V
1.0
0.000 4.014 4.014
4.014 0.000 4.014
4.014 4.014 0.000
Cs Li V
1 2 1
Direct
0.000 0.000 0.000
0.250 0.250 0.250
0.750 0.750 0.750
0.500 0.500 0.500
```

- Space group: Fm-3m

---

no.,VASP energy (eV for the cell shown),D(E_F) (states/eV per cell)
1,-4.918,2.9
2,-11.512,3.6
3,-8.407,2.6
4,-9.955,5.3